Material: NiSn3
Method: DFT, PBE
State: relaxed

abc: 3.3393 6.0233 5.6970
angles: 121.91 107.04 90.00
Positions (direct):
Ni1 0.0000 0.0713 0.0000
Sn1 0.3177 0.6638 0.6355
Sn2 0.5000 0.4032 0.0000
Sn3 0.6823 0.0283 0.3645

Calculated values
- SG = Imm2 (44)
- ΔE_f (eV/atom) = 0.015
- total DFT energy (no corrections) (eV/atom) = -4.433